Run i
Here is an optimized crystal structure of SrNbSb2 from Alexandria via LeMat-Bulk. Energies are from PBE.

The value obtained for the density of states at the Fermi level is 2.153 states/eV/f.u.

The space group is Fm-3m (No. 225) and the conventional cell measures 7.431, 7.431 and 7.431 Å, with angles of 90.00, 90.00 and 90.00 degrees. Symmetry generates all atoms from Sr at (0.000, 0.000, 0.000), Nb at (0.000, 0.000, 0.500) and Sb at (0.250, 0.250, 0.250).


Run ii
Here is an optimized crystal structure of SrNbSb2 from Alexandria via LeMat-Bulk. Energies are from PBE.

The value obtained for the density of states at the Fermi level is 1.249 states/eV/f.u.

The space group is I-42d (No. 122) and the conventional cell measures 8.094, 8.094 and 7.521 Å, with angles of 90.00, 90.00 and 90.00 degrees. Symmetry generates all atoms from Sr at (0.000, 0.000, 0.000), Nb at (0.000, 0.000, 0.500) and Sb at (0.200, 0.250, 0.625).


We find run i to be the most stable, with the next structure 23 meV per atom higher.


Run i
Here is an optimized crystal structure of Sr3NbSb from Alexandria via LeMat-Bulk. Energies are from PBE.

The value obtained for the density of states at the Fermi level is 1.924 states/eV/f.u.

The space group is Pm-3m (No. 221) and the conventional cell measures 6.220, 6.220 and 6.220 Å, with angles of 90.00, 90.00 and 90.00 degrees. Symmetry generates all atoms from Sr at (0.000, 0.000, 0.500), Nb at (0.500, 0.500, 0.500) and Sb at (0.000, 0.000, 0.000).


Run ii
Here is an optimized crystal structure of Sr3NbSb from Alexandria via LeMat-Bulk. Energies are from PBE.

The value obtained for the density of states at the Fermi level is 6.709 states/eV/f.u.

The space group is Pm-3m (No. 221) and the conventional cell measures 5.735, 5.735 and 5.735 Å, with angles of 90.00, 90.00 and 90.00 degrees. Symmetry generates all atoms from Sr at (0.000, 0.000, 0.500), Nb at (0.000, 0.000, 0.000) and Sb at (0.500, 0.500, 0.500).


We find run i to be the most stable, with the next structure 232 meV per atom higher.


Run i
Here is an optimized crystal structure of Ta3NbSb from Alexandria via LeMat-Bulk. Energies are from PBE.

The value obtained for the density of states at the Fermi level is 9.095 states/eV/f.u.

The space group is Pm-3m (No. 221) and the conventional cell measures 4.946, 4.946 and 4.946 Å, with angles of 90.00, 90.00 and 90.00 degrees. Symmetry generates all atoms from Ta at (0.000, 0.000, 0.500), Nb at (0.500, 0.500, 0.500) and Sb at (0.000, 0.000, 0.000).


Run ii
Here is an optimized crystal structure of Ta3NbSb from Alexandria via LeMat-Bulk. Energies are from PBE.

The value obtained for the density of states at the Fermi level is 3.345 states/eV/f.u.

The space group is Pm-3m (No. 221) and the conventional cell measures 4.908, 4.908 and 4.908 Å, with angles of 90.00, 90.00 and 90.00 degrees. Symmetry generates all atoms from Ta at (0.000, 0.000, 0.500), Nb at (0.000, 0.000, 0.000) and Sb at (0.500, 0.500, 0.500).


We find run ii to be the most stable, with the next structure 377 meV per atom higher.


Run i
Here is an optimized crystal structure of NbTcSb2 from Alexandria via LeMat-Bulk. Energies are from PBE.

The value obtained for the density of states at the Fermi level is 4.881 states/eV/f.u.

The space group is I-42d (No. 122) and the conventional cell measures 4.241, 4.241 and 19.000 Å, with angles of 90.00, 90.00 and 90.00 degrees. Symmetry generates all atoms from Nb at (0.000, 0.000, 0.000), Tc at (0.000, 0.000, 0.500) and Sb at (0.240, 0.250, 0.625).


Run ii
Here is an optimized crystal structure of NbTcSb2 from Alexandria via LeMat-Bulk. Energies are from PBE.

The value obtained for the density of states at the Fermi level is 6.386 states/eV/f.u.

The space group is Fm-3m (No. 225) and the conventional cell measures 6.699, 6.699 and 6.699 Å, with angles of 90.00, 90.00 and 90.00 degrees. Symmetry generates all atoms from Nb at (0.000, 0.000, 0.000), Tc at (0.000, 0.000, 0.500) and Sb at (0.250, 0.250, 0.250).


We find run ii to be the most stable, with the next structure 378 meV per atom higher.